OsPdSN2: optimized geometry, GGA-PBE.

The formation energy without anion corrections is 720 meV per atom.

It has space group P4/mmm (No. 123), with a = 3.733 Å, b = 3.733 Å, c = 5.322 Å, α = 90.00°, β = 90.00° and γ = 90.00°. The inequivalent atoms are Os at (0.000, 0.000, 0.000), Pd at (0.500, 0.500, 0.500), S at (0.000, 0.000, 0.500) and N at (0.000, 0.500, 0.000).

***

TaZnNi2H: optimized geometry, GGA-PBE.

It has space group P4/mmm (No. 123), with a = 3.802 Å, b = 3.802 Å, c = 3.917 Å, α = 90.00°, β = 90.00° and γ = 90.00°. The inequivalent atoms are Ta at (0.000, 0.000, 0.000), Zn at (0.500, 0.500, 0.000), Ni at (0.000, 0.500, 0.500) and H at (0.000, 0.000, 0.500).

***

RbNa2VIn: optimized geometry, GGA-PBE.

It has space group P4/mmm (No. 123), with a = 5.975 Å, b = 5.975 Å, c = 5.510 Å, α = 90.00°, β = 90.00° and γ = 90.00°. The inequivalent atoms are Rb at (0.000, 0.000, 0.000), Na at (0.000, 0.500, 0.500), V at (0.500, 0.500, 0.500) and In at (0.500, 0.500, 0.000).

***

Going through the records in order, we get E_tot values of -33.60; -27.99; -12.76 eV/cell.